P:
A geometry-optimized BiPdC3 structure. Source: the Alexandria database, functional GGA-PBE.

CIF file:
```
data_BiPdC3
_space_group_name_H-M_alt 'P 1'
_space_group_IT_number 1
_cell_length_a 4.444
_cell_length_b 4.444
_cell_length_c 4.444
_cell_angle_alpha 90.00
_cell_angle_beta 90.00
_cell_angle_gamma 90.00
loop_
_space_group_symop_operation_xyz
'x,y,z'
loop_
_atom_site_label
_atom_site_type_symbol
_atom_site_fract_x
_atom_site_fract_y
_atom_site_fract_z
Bi1 Bi 0.000 0.000 0.000
Pd1 Pd 0.500 0.500 0.500
C1 C 0.000 0.000 0.500
C2 C 0.000 0.500 0.000
C3 C 0.500 0.000 0.000
```

Q:
A geometry-optimized BiPdC3 structure. Source: the Alexandria database, functional GGA-PBE.

CIF file:
```
data_BiPdC3
_space_group_name_H-M_alt 'P 1'
_space_group_IT_number 1
_cell_length_a 4.132
_cell_length_b 4.132
_cell_length_c 4.132
_cell_angle_alpha 90.00
_cell_angle_beta 90.00
_cell_angle_gamma 90.00
loop_
_space_group_symop_operation_xyz
'x,y,z'
loop_
_atom_site_label
_atom_site_type_symbol
_atom_site_fract_x
_atom_site_fract_y
_atom_site_fract_z
Bi1 Bi 0.000 0.000 0.000
Pd1 Pd 0.500 0.500 0.500
C1 C 0.000 0.500 0.500
C2 C 0.500 0.000 0.500
C3 C 0.500 0.500 0.000
```

Compare the structures above. Which one is the least stable? P is.